P | # SrLaCr | the Alexandria database | PBE | relaxed
# total moment = 3.41 μB per formula unit
data_SrLaCr
_cell_length_a 3.992
_cell_length_b 3.992
_cell_length_c 7.813
_cell_angle_alpha 90.00
_cell_angle_beta 90.00
_cell_angle_gamma 120.00
_symmetry_space_group_name_H-M 'P 1'
_symmetry_Int_Tables_number 1
loop_
_symmetry_equiv_pos_as_xyz
'x,y,z'
loop_
_atom_site_label
_atom_site_type_symbol
_atom_site_fract_x
_atom_site_fract_y
_atom_site_fract_z
Sr1 Sr 0.333 0.667 0.720
Cr1 Cr 0.000 0.000 0.018
La1 La 0.667 0.333 0.262



Q | # SrLaCr | the Alexandria database | PBE | relaxed
# total moment = 3.30 μB per formula unit
data_SrLaCr
_cell_length_a 7.285
_cell_length_b 7.285
_cell_length_c 3.868
_cell_angle_alpha 74.60
_cell_angle_beta 74.61
_cell_angle_gamma 30.79
_symmetry_space_group_name_H-M 'P 1'
_symmetry_Int_Tables_number 1
loop_
_symmetry_equiv_pos_as_xyz
'x,y,z'
loop_
_atom_site_label
_atom_site_type_symbol
_atom_site_fract_x
_atom_site_fract_y
_atom_site_fract_z
La1 La 0.631 0.631 0.369
Cr1 Cr 0.013 0.013 0.987
Sr1 Sr 0.357 0.357 0.643



R | # SrLaCr | the Alexandria database | PBE | relaxed
# total moment = 4.10 μB per formula unit
data_SrLaCr
_cell_length_a 5.407
_cell_length_b 5.407
_cell_length_c 5.407
_cell_angle_alpha 60.00
_cell_angle_beta 60.00
_cell_angle_gamma 60.00
_symmetry_space_group_name_H-M 'P 1'
_symmetry_Int_Tables_number 1
loop_
_symmetry_equiv_pos_as_xyz
'x,y,z'
loop_
_atom_site_label
_atom_site_type_symbol
_atom_site_fract_x
_atom_site_fract_y
_atom_site_fract_z
Sr1 Sr 0.500 0.500 0.500
Cr1 Cr 0.750 0.750 0.750
La1 La 0.000 0.000 0.000



Going by the energies, Q is most stable and the next is 17.4 kJ/mol of atoms up.



P | # Sr3LaCr | the Alexandria database | PBE | relaxed
# total moment = 3.00 μB per formula unit
data_Sr3LaCr
_cell_length_a 6.258
_cell_length_b 6.258
_cell_length_c 6.258
_cell_angle_alpha 90.00
_cell_angle_beta 90.00
_cell_angle_gamma 90.00
_symmetry_space_group_name_H-M 'P 1'
_symmetry_Int_Tables_number 1
loop_
_symmetry_equiv_pos_as_xyz
'x,y,z'
loop_
_atom_site_label
_atom_site_type_symbol
_atom_site_fract_x
_atom_site_fract_y
_atom_site_fract_z
Sr1 Sr 0.000 0.000 0.500
Sr2 Sr 0.500 0.000 0.000
Sr3 Sr 0.000 0.500 0.000
Cr1 Cr 0.500 0.500 0.500
La1 La 0.000 0.000 0.000



Q | # Sr3LaCr | the Alexandria database | PBE | relaxed
# total moment = 2.76 μB per formula unit
data_Sr3LaCr
_cell_length_a 6.130
_cell_length_b 6.130
_cell_length_c 6.130
_cell_angle_alpha 90.00
_cell_angle_beta 90.00
_cell_angle_gamma 90.00
_symmetry_space_group_name_H-M 'P 1'
_symmetry_Int_Tables_number 1
loop_
_symmetry_equiv_pos_as_xyz
'x,y,z'
loop_
_atom_site_label
_atom_site_type_symbol
_atom_site_fract_x
_atom_site_fract_y
_atom_site_fract_z
Sr1 Sr 0.000 0.500 0.000
Sr2 Sr 0.000 0.000 0.500
Sr3 Sr 0.500 0.000 0.000
Cr1 Cr 0.000 0.000 0.000
La1 La 0.500 0.500 0.500



Going by the energies, Q is most stable and the next is 57.4 kJ/mol of atoms up.



P | # LaTa2Cr | the Alexandria database | PBE | relaxed
# total moment = 2.95 μB per formula unit
data_LaTa2Cr
_cell_length_a 5.720
_cell_length_b 5.720
_cell_length_c 5.720
_cell_angle_alpha 138.11
_cell_angle_beta 138.11
_cell_angle_gamma 60.73
_symmetry_space_group_name_H-M 'P 1'
_symmetry_Int_Tables_number 1
loop_
_symmetry_equiv_pos_as_xyz
'x,y,z'
loop_
_atom_site_label
_atom_site_type_symbol
_atom_site_fract_x
_atom_site_fract_y
_atom_site_fract_z
La1 La 0.750 0.250 0.500
Ta1 Ta 0.500 0.500 0.000
Ta2 Ta 0.000 0.000 0.000
Cr1 Cr 0.250 0.750 0.500



Q | # LaTa2Cr | the Alexandria database | PBE | relaxed
# total moment = 0.00 μB per formula unit
data_LaTa2Cr
_cell_length_a 2.967
_cell_length_b 2.967
_cell_length_c 9.601
_cell_angle_alpha 90.00
_cell_angle_beta 90.00
_cell_angle_gamma 113.54
_symmetry_space_group_name_H-M 'P 1'
_symmetry_Int_Tables_number 1
loop_
_symmetry_equiv_pos_as_xyz
'x,y,z'
loop_
_atom_site_label
_atom_site_type_symbol
_atom_site_fract_x
_atom_site_fract_y
_atom_site_fract_z
La1 La 0.500 0.500 0.724
Cr1 Cr 0.000 0.000 0.471
Ta1 Ta 0.500 0.500 0.273
Ta2 Ta 0.000 0.000 0.032



R | # LaTa2Cr | the Alexandria database | PBE | relaxed
# total moment = 0.77 μB per formula unit
data_LaTa2Cr
_cell_length_a 3.234
_cell_length_b 3.234
_cell_length_c 7.856
_cell_angle_alpha 90.00
_cell_angle_beta 90.00
_cell_angle_gamma 90.00
_symmetry_space_group_name_H-M 'P 1'
_symmetry_Int_Tables_number 1
loop_
_symmetry_equiv_pos_as_xyz
'x,y,z'
loop_
_atom_site_label
_atom_site_type_symbol
_atom_site_fract_x
_atom_site_fract_y
_atom_site_fract_z
Cr1 Cr 0.000 0.000 0.438
Ta1 Ta 0.500 0.500 0.273
Ta2 Ta 0.000 0.000 0.057
La1 La 0.500 0.500 0.732



Going by the energies, R is most stable and the next is 7.7 kJ/mol of atoms up.



P | # LaTa2Cr | the Alexandria database | PBE | relaxed
# total moment = 1.73 μB per formula unit
data_LaTa2Cr
_cell_length_a 5.878
_cell_length_b 5.878
_cell_length_c 5.878
_cell_angle_alpha 147.72
_cell_angle_beta 132.19
_cell_angle_gamma 58.86
_symmetry_space_group_name_H-M 'P 1'
_symmetry_Int_Tables_number 1
loop_
_symmetry_equiv_pos_as_xyz
'x,y,z'
loop_
_atom_site_label
_atom_site_type_symbol
_atom_site_fract_x
_atom_site_fract_y
_atom_site_fract_z
Ta1 Ta 0.982 0.982 0.000
Ta2 Ta 0.518 0.518 0.000
Cr1 Cr 0.750 0.250 0.500
La1 La 0.250 0.750 0.500



Q | # LaTa2Cr | the Alexandria database | PBE | relaxed
# total moment = 0.00 μB per formula unit
data_LaTa2Cr
_cell_length_a 9.443
_cell_length_b 9.443
_cell_length_c 9.443
_cell_angle_alpha 19.17
_cell_angle_beta 19.17
_cell_angle_gamma 19.17
_symmetry_space_group_name_H-M 'P 1'
_symmetry_Int_Tables_number 1
loop_
_symmetry_equiv_pos_as_xyz
'x,y,z'
loop_
_atom_site_label
_atom_site_type_symbol
_atom_site_fract_x
_atom_site_fract_y
_atom_site_fract_z
La1 La 0.758 0.758 0.758
Ta1 Ta 0.989 0.989 0.989
Ta2 Ta 0.242 0.242 0.242
Cr1 Cr 0.511 0.511 0.511



Going by the energies, P is most stable and the next is 4.8 kJ/mol of atoms up.



P | # LaTa2Cr | the Alexandria database | PBE | relaxed
# total moment = 0.00 μB per formula unit
data_LaTa2Cr
_cell_length_a 3.162
_cell_length_b 3.162
_cell_length_c 8.024
_cell_angle_alpha 90.00
_cell_angle_beta 90.00
_cell_angle_gamma 90.00
_symmetry_space_group_name_H-M 'P 1'
_symmetry_Int_Tables_number 1
loop_
_symmetry_equiv_pos_as_xyz
'x,y,z'
loop_
_atom_site_label
_atom_site_type_symbol
_atom_site_fract_x
_atom_site_fract_y
_atom_site_fract_z
Cr1 Cr 0.500 0.500 0.250
Ta1 Ta 0.000 0.000 0.429
Ta2 Ta 0.000 0.000 0.071
La1 La 0.500 0.500 0.750



Q | # LaTa2Cr | the Alexandria database | PBE | relaxed
# total moment = 0.01 μB per formula unit
data_LaTa2Cr
_cell_length_a 4.192
_cell_length_b 3.075
_cell_length_c 6.948
_cell_angle_alpha 73.09
_cell_angle_beta 90.00
_cell_angle_gamma 90.00
_symmetry_space_group_name_H-M 'P 1'
_symmetry_Int_Tables_number 1
loop_
_symmetry_equiv_pos_as_xyz
'x,y,z'
loop_
_atom_site_label
_atom_site_type_symbol
_atom_site_fract_x
_atom_site_fract_y
_atom_site_fract_z
Ta1 Ta 0.500 0.311 0.272
Ta2 Ta 0.000 0.993 0.078
La1 La 0.500 0.653 0.729
Cr1 Cr 0.000 0.542 0.421



Going by the energies, P is most stable and the next is 17.9 kJ/mol of atoms up.



P | # LaTa2Cr | the Alexandria database | PBE | relaxed
# total moment = 2.82 μB per formula unit
data_LaTa2Cr
_cell_length_a 5.007
_cell_length_b 4.083
_cell_length_c 4.083
_cell_angle_alpha 90.00
_cell_angle_beta 90.00
_cell_angle_gamma 90.00
_symmetry_space_group_name_H-M 'P 1'
_symmetry_Int_Tables_number 1
loop_
_symmetry_equiv_pos_as_xyz
'x,y,z'
loop_
_atom_site_label
_atom_site_type_symbol
_atom_site_fract_x
_atom_site_fract_y
_atom_site_fract_z
Ta1 Ta 0.000 0.500 0.500
Ta2 Ta 0.000 0.000 0.000
Cr1 Cr 0.500 0.500 0.000
La1 La 0.500 0.000 0.500



Q | # LaTa2Cr | the Alexandria database | PBE | relaxed
# total moment = 1.98 μB per formula unit
data_LaTa2Cr
_cell_length_a 3.299
_cell_length_b 4.777
_cell_length_c 5.050
_cell_angle_alpha 90.00
_cell_angle_beta 90.00
_cell_angle_gamma 90.00
_symmetry_space_group_name_H-M 'P 1'
_symmetry_Int_Tables_number 1
loop_
_symmetry_equiv_pos_as_xyz
'x,y,z'
loop_
_atom_site_label
_atom_site_type_symbol
_atom_site_fract_x
_atom_site_fract_y
_atom_site_fract_z
Ta1 Ta 0.500 0.500 0.000
Ta2 Ta 0.000 0.000 0.000
La1 La 0.000 0.500 0.500
Cr1 Cr 0.500 0.000 0.500



Going by the energies, Q is most stable and the next is 8.3 kJ/mol of atoms up.



P | # LaTa2Cr | the Alexandria database | PBE | relaxed
# total moment = 1.25 μB per formula unit
data_LaTa2Cr
_cell_length_a 5.014
_cell_length_b 5.014
_cell_length_c 9.415
_cell_angle_alpha 74.56
_cell_angle_beta 74.56
_cell_angle_gamma 90.00
_symmetry_space_group_name_H-M 'P 1'
_symmetry_Int_Tables_number 1
loop_
_symmetry_equiv_pos_as_xyz
'x,y,z'
loop_
_atom_site_label
_atom_site_type_symbol
_atom_site_fract_x
_atom_site_fract_y
_atom_site_fract_z
La1 La 0.750 0.250 0.500
La2 La 0.000 0.000 0.000
Ta1 Ta 0.375 0.625 0.750
Ta2 Ta 0.375 0.625 0.250
Ta3 Ta 0.375 0.125 0.250
Ta4 Ta 0.875 0.625 0.750
Cr1 Cr 0.500 0.500 0.000
Cr2 Cr 0.250 0.750 0.500



Q | # LaTa2Cr | the Alexandria database | PBE | relaxed
# total moment = 0.00 μB per formula unit
data_LaTa2Cr
_cell_length_a 2.962
_cell_length_b 2.962
_cell_length_c 9.768
_cell_angle_alpha 90.00
_cell_angle_beta 90.00
_cell_angle_gamma 113.74
_symmetry_space_group_name_H-M 'P 1'
_symmetry_Int_Tables_number 1
loop_
_symmetry_equiv_pos_as_xyz
'x,y,z'
loop_
_atom_site_label
_atom_site_type_symbol
_atom_site_fract_x
_atom_site_fract_y
_atom_site_fract_z
Ta1 Ta 0.000 0.000 0.053
Ta2 Ta 0.000 0.000 0.447
La1 La 0.500 0.500 0.750
Cr1 Cr 0.500 0.500 0.250



Going by the energies, Q is most stable and the next is 82.5 kJ/mol of atoms up.



P | # LaTa2Cr | the Alexandria database | PBE | relaxed
# total moment = 0.00 μB per formula unit
data_LaTa2Cr
_cell_length_a 9.717
_cell_length_b 9.717
_cell_length_c 9.717
_cell_angle_alpha 18.37
_cell_angle_beta 18.37
_cell_angle_gamma 18.37
_symmetry_space_group_name_H-M 'P 1'
_symmetry_Int_Tables_number 1
loop_
_symmetry_equiv_pos_as_xyz
'x,y,z'
loop_
_atom_site_label
_atom_site_type_symbol
_atom_site_fract_x
_atom_site_fract_y
_atom_site_fract_z
Cr1 Cr 0.250 0.250 0.250
Ta1 Ta 0.983 0.983 0.983
Ta2 Ta 0.517 0.517 0.517
La1 La 0.750 0.750 0.750



Q | # LaTa2Cr | the Alexandria database | PBE | relaxed
# total moment = 0.01 μB per formula unit
data_LaTa2Cr
_cell_length_a 5.792
_cell_length_b 5.792
_cell_length_c 2.825
_cell_angle_alpha 90.00
_cell_angle_beta 90.00
_cell_angle_gamma 124.56
_symmetry_space_group_name_H-M 'P 1'
_symmetry_Int_Tables_number 1
loop_
_symmetry_equiv_pos_as_xyz
'x,y,z'
loop_
_atom_site_label
_atom_site_type_symbol
_atom_site_fract_x
_atom_site_fract_y
_atom_site_fract_z
Ta1 Ta 0.500 0.500 0.000
Ta2 Ta 0.000 0.000 0.000
La1 La 0.000 0.500 0.500
Cr1 Cr 0.500 0.000 0.500



Going by the energies, P is most stable and the next is 23.1 kJ/mol of atoms up.